Compound: Rb3Na3HgCl8
Source: Alexandria
Functional: PBE
Structure: optimized geometry

Lattice parameters (Å, degrees): 8.4491 8.4491 22.4575 90.00 90.00 120.00
Space group R-3m (No. 166, hexagonal axes)
Inequivalent atoms, fractional coordinates:
Rb 0.0000 0.5000 0.0000 [9 per cell]
Na 0.0000 0.5000 0.5000 [9 per cell]
Hg 0.0000 0.0000 0.5000 [3 per cell]
Cl 0.0000 0.0000 0.2366 [6 per cell]
Cl 0.0168 0.5084 0.2329 [18 per cell]

Computed properties:
Fermi-level density of states: 0.00 states/eV/atom
Formation energy (no corrections): -1.60 eV per atom
Final energy: -137.9 eV/cell

Compound: Rb3NaHg2Cl9
Source: Alexandria
Functional: PBE
Structure: optimized geometry

Lattice parameters (Å, degrees): 7.5210 7.5210 9.3069 90.00 90.00 120.00
Space group P-3m1 (No. 164)
Inequivalent atoms, fractional coordinates:
Rb 0.0000 0.0000 0.0000 [1 per cell]
Rb 0.3333 0.6667 0.6582 [2 per cell]
Na 0.0000 0.0000 0.5000 [1 per cell]
Hg 0.3333 0.6667 0.1704 [2 per cell]
Cl 0.0000 0.5000 0.0000 [3 per cell]
Cl 0.1674 0.3348 0.3234 [6 per cell]

Computed properties:
Fermi-level density of states: 0.43 states/eV/atom
Formation energy (no corrections): -1.22 eV per atom
Final energy: -39.8 eV/cell

Which value of final energy does entry 1 give?
-137.9 eV/cell

Look up the formation energy (no corrections) of the first one.
-1.60 eV per atom

Among the records above, which one has the lowest formation energy (no corrections)?
Rb3Na3HgCl8

Fermi-level density of states of number 2 (Rb3NaHg2Cl9)?
0.43 states/eV/atom